A.
Density functional theory data (PBE-GGA) for a geometry-optimized BeHgP2 structure.

Geometry as POSCAR:
```
BeHgP2
1.0
3.1677 0.0000 0.0000
0.0000 6.2925 0.0000
0.0000 0.0000 7.4536
Be Hg P
2 2 4
direct
0.0000 0.0000 0.0000 Be
0.5000 0.5000 0.5000 Be
0.0000 0.5000 0.7606 Hg
0.5000 0.0000 0.2606 Hg
0.0000 0.0000 0.5809 P
0.0000 0.5000 0.2896 P
0.5000 0.0000 0.7896 P
0.5000 0.5000 0.0809 P
```

Computed properties:
- space group = No. 44
- theoretical density (g/cm³) = 6.07

B.
Density functional theory data (PBE-GGA) for a geometry-optimized BeHgP2 structure.

Geometry as POSCAR:
```
BeHgP2
1.0
3.3688 0.0000 0.0000
0.0000 3.3688 0.0000
0.0000 0.0000 12.7314
Be Hg P
2 2 4
direct
0.0000 0.0000 0.0000 Be
0.5000 0.5000 0.5000 Be
0.0000 0.0000 0.5000 Hg
0.5000 0.5000 0.0000 Hg
0.0000 0.5000 0.2500 P
0.0000 0.5000 0.7500 P
0.5000 0.0000 0.2500 P
0.5000 0.0000 0.7500 P
```

Computed properties:
- space group = No. 139
- theoretical density (g/cm³) = 6.24

Most stable to least stable, the ends of the list are A and B.